1.
Density functional theory data (PBE) for a relaxed structure of Li2CeTaO6.

Computed properties:
E_form (uncorrected)	-2.54	eV/atom
uncorrected energy	-76.8	eV per formula unit
space-group type	R3 (146)

Lattice parameters (Å, degrees): 5.355 5.355 5.766 62.32 62.33 60.00
Last column: magnetic moment on the atom in μB.
Sites, in units of the cell vectors:
Li 0.531 0.531 0.406  0.00
Li 0.026 0.026 0.923  0.00
Ce 0.812 0.812 0.565  0.00
Ta 0.315 0.315 0.056  -0.04
O 0.580 0.227 0.249  0.10
O 0.227 0.944 0.249  0.10
O 0.944 0.580 0.249  0.11
O 0.403 0.701 0.773  0.20
O 0.701 0.123 0.773  0.20
O 0.123 0.403 0.773  0.20



2.
Density functional theory data (PBE) for a relaxed structure of Li4CeTa3O12.

Computed properties:
E_form (uncorrected)	-2.54	eV/atom
uncorrected energy	-159.4	eV per formula unit
space-group type	R32 (155)

Lattice parameters (Å, degrees): 6.728 6.728 6.728 107.93 107.93 107.93
Last column: magnetic moment on the atom in μB.
Sites, in units of the cell vectors:
Li 0.937 0.063 0.500  0.00
Li 0.063 0.500 0.937  0.00
Li 0.500 0.937 0.063  0.00
Li 0.500 0.500 0.500  0.00
Ce 0.000 0.000 0.000  -0.02
Ta 0.554 0.446 0.000  -0.02
Ta 0.446 0.000 0.554  -0.02
Ta 0.000 0.554 0.446  -0.02
O 0.500 0.331 0.669  0.01
O 0.895 0.500 0.105  0.28
O 0.105 0.895 0.500  0.28
O 0.500 0.105 0.895  0.28
O 0.328 0.975 0.238  0.02
O 0.238 0.328 0.975  0.02
O 0.975 0.238 0.328  0.02
O 0.672 0.762 0.025  0.02
O 0.025 0.672 0.762  0.02
O 0.762 0.025 0.672  0.02
O 0.669 0.500 0.331  0.01
O 0.331 0.669 0.500  0.01



3.
Density functional theory data (PBE) for a relaxed structure of LiCeTc2O8.

Computed properties:
E_form (uncorrected)	-1.89	eV/atom
uncorrected energy	-90.9	eV per formula unit
space-group type	I-4 (82)

Lattice parameters (Å, degrees): 5.229 5.229 6.786 112.66 112.66 90.00
Last column: magnetic moment on the atom in μB.
Sites, in units of the cell vectors:
Li 0.750 0.250 0.500  0.01
Ce 0.000 0.000 0.000  0.73
Tc 0.500 0.500 0.000  0.88
Tc 0.250 0.750 0.500  0.77
O 0.743 0.832 0.164  0.05
O 0.421 0.332 0.164  0.05
O 0.581 0.677 0.668  0.04
O 0.088 0.991 0.668  0.04
O 0.009 0.419 0.332  0.04
O 0.323 0.912 0.332  0.04
O 0.168 0.579 0.836  0.05
O 0.668 0.257 0.836  0.05



4.
Density functional theory data (PBE) for a relaxed structure of Li2CeTcO6.

Computed properties:
E_form (uncorrected)	-2.07	eV/atom
uncorrected energy	-70.6	eV per formula unit
space-group type	P4mm (99)

Lattice parameters (Å, degrees): 4.388 5.784 5.784 90.00 90.00 90.00
Last column: magnetic moment on the atom in μB.
Sites, in units of the cell vectors:
Li 0.883 0.500 0.000  0.01
Li 0.883 0.000 0.500  0.01
Ce 0.653 0.500 0.500  0.07
Tc 0.626 0.000 0.000  0.71
O 0.745 0.226 0.226  0.03
O 0.745 0.226 0.774  0.03
O 0.185 0.500 0.500  0.00
O 0.238 0.000 0.000  -0.04
O 0.745 0.774 0.774  0.03
O 0.745 0.774 0.226  0.03



5.
Density functional theory data (PBE) for a relaxed structure of LiCeTeO.

Computed properties:
E_form (uncorrected)	-2.14	eV/atom
uncorrected energy	-24.5	eV per formula unit
space-group type	P4/nmm (129)

Lattice parameters (Å, degrees): 4.152 4.152 9.684 90.00 90.00 90.00
Last column: magnetic moment on the atom in μB.
Sites, in units of the cell vectors:
Li 0.500 0.500 0.000  0.00
Li 0.000 0.000 0.000  0.00
Ce 0.500 0.000 0.620  0.93
Ce 0.000 0.500 0.380  0.93
Te 0.000 0.500 0.814  -0.01
Te 0.500 0.000 0.186  -0.01
O 0.000 0.000 0.500  -0.03
O 0.500 0.500 0.500  -0.03



6.
Density functional theory data (PBE) for a relaxed structure of LiCeTeO6.

Computed properties:
E_form (uncorrected)	-1.78	eV/atom
uncorrected energy	-56.8	eV per formula unit
space-group type	P4_2nm (102)

Lattice parameters (Å, degrees): 4.982 4.982 9.807 90.00 90.00 90.00
Last column: magnetic moment on the atom in μB.
Sites, in units of the cell vectors:
Li 0.500 0.500 0.505  0.00
Li 0.000 0.000 0.005  0.00
Ce 0.500 0.500 0.172  -0.02
Ce 0.000 0.000 0.672  -0.02
Te 0.500 0.500 0.831  -0.02
Te 0.000 0.000 0.331  -0.02
O 0.188 0.812 0.477  0.16
O 0.812 0.188 0.477  0.16
O 0.312 0.312 0.977  0.16
O 0.688 0.688 0.977  0.16
O 0.184 0.816 0.184  0.09
O 0.816 0.184 0.184  0.09
O 0.316 0.316 0.684  0.09
O 0.684 0.684 0.684  0.09
O 0.776 0.224 0.835  0.16
O 0.224 0.776 0.835  0.16
O 0.724 0.724 0.335  0.16
O 0.276 0.276 0.335  0.16



7.
Density functional theory data (PBE) for a relaxed structure of LiCeTe2O8.

Computed properties:
E_form (uncorrected)	-1.52	eV/atom
uncorrected energy	-72.0	eV per formula unit
space-group type	I-4m2 (119)

Lattice parameters (Å, degrees): 6.230 6.230 6.230 107.53 107.53 113.43
Last column: magnetic moment on the atom in μB.
Sites, in units of the cell vectors:
Li 0.250 0.750 0.500  0.00
Ce 0.000 0.000 0.000  0.51
Te 0.750 0.250 0.500  0.08
Te 0.500 0.500 0.000  0.00
O 0.376 0.074 0.302  0.06
O 0.320 0.509 0.189  0.00
O 0.320 0.132 0.811  0.00
O 0.771 0.074 0.698  0.06
O 0.868 0.680 0.189  0.00
O 0.926 0.229 0.302  0.06
O 0.926 0.624 0.698  0.06
O 0.491 0.680 0.811  0.00



8.
Density functional theory data (PBE) for a relaxed structure of LiCeTeO2.

Computed properties:
E_form (uncorrected)	-2.16	eV/atom
uncorrected energy	-31.7	eV per formula unit
space-group type	I4mm (107)

Lattice parameters (Å, degrees): 3.914 3.914 7.377 105.38 105.38 90.00
Sites, in units of the cell vectors:
Li 0.797 0.797 0.594
Ce 0.186 0.186 0.372
Te 0.514 0.514 0.029
O 0.751 0.251 0.503
O 0.251 0.751 0.503



Q: Which of these has the lowest uncorrected energy?
A: Li4CeTa3O12



Q: What is the uncorrected energy in the seventh record?
A: -72.0 eV per formula unit